# CrSb2ClO (PBE+U, relaxed)
# energy	-17.3	eV/f.u.
# space-group type	P4/mmm, No. 123
data_CrSb2ClO
_cell_length_a 5.460
_cell_length_b 4.581
_cell_length_c 5.460
_cell_angle_alpha 90.00
_cell_angle_beta 90.00
_cell_angle_gamma 90.00
_symmetry_space_group_name_H-M 'P 1'
_symmetry_Int_Tables_number 1
_symmetry_space_group_name_Hall 'P 1'
loop_
_atom_site_label
_atom_site_fract_x
_atom_site_fract_y
_atom_site_fract_z
_atom_site_occupancy
Sb1 0.500 0.000 0.000 1
Sb2 0.000 0.000 0.500 1
O1 0.500 0.500 0.500 1
Cl1 0.000 0.000 0.000 1
Cr1 0.000 0.500 0.000 1